{"formula": "Al2CdMoO6", "functional": "GGA+U", "state": "optimized geometry", "dft_energy_ev_per_atom": -6.679, "lattice_angstrom": [[-2.914, 3.959, 3.236], [1.460, -1.470, 6.745], [4.492, 5.312, 1.179]], "species": ["Mo", "Mo", "Cd", "Cd", "Al", "Al", "Al", "Al", "O", "O", "O", "O", "O", "O", "O", "O", "O", "O", "O", "O"], "fractional_positions": [[0.750, 0.728, 0.272], [0.250, 0.272, 0.728], [0.250, 0.906, 0.094], [0.750, 0.094, 0.906], [0.343, 0.778, 0.624], [0.157, 0.376, 0.222], [0.657, 0.222, 0.376], [0.843, 0.624, 0.778], [0.615, 0.172, 0.633], [0.303, 0.228, 0.015], [0.697, 0.772, 0.985], [0.172, 0.597, 0.707], [0.803, 0.015, 0.228], [0.328, 0.293, 0.403], [0.197, 0.985, 0.772], [0.672, 0.707, 0.597], [0.115, 0.633, 0.172], [0.385, 0.828, 0.367], [0.885, 0.367, 0.828], [0.828, 0.403, 0.293]]}